SiNO2 (PBE, relaxed); ΔE to the lowest computed polymorph = 0 meV/atom; E = -7.74 eV per atom; N(E_F) = 0.00 states/eV per cell; theoretical density = 2.14 g/cm³; total moment = 0.0 μB per formula unit
1.0
18.0349 0.0000 0.0000
0.0000 2.7391 0.0000
-0.3739 0.0000 4.6466
Si N O
4 4 8
direct
0.2501 0.0000 0.2499 Si
0.2499 0.5000 0.7501 Si
0.7499 0.0000 0.7501 Si
0.7501 0.5000 0.2499 Si
0.0142 0.0000 0.6104 N
0.4858 0.5000 0.3896 N
0.5142 0.5000 0.6104 N
0.9858 0.0000 0.3896 N
0.1993 0.0000 0.5666 O
0.1993 0.5000 0.0670 O
0.3007 0.0000 0.9330 O
0.3007 0.5000 0.4334 O
0.6993 0.0000 0.0670 O
0.6993 0.5000 0.5666 O
0.8007 0.0000 0.4334 O
0.8007 0.5000 0.9330 O

***

BeTlSN2 (PBE, relaxed); ΔE to the lowest computed polymorph = 1060 meV/atom; E = -3.20 eV per atom; N(E_F) = 2.40 states/eV per cell; theoretical density = 4.48 g/cm³; total moment = 2.8 μB per formula unit
1.0
4.1609 0.0000 0.0000
0.0000 4.1609 0.0000
0.0000 0.0000 5.8497
Be Tl S N
1 1 1 2
direct
0.0000 0.0000 0.0000 Be
0.5000 0.5000 0.5000 Tl
0.5000 0.5000 0.0000 S
0.0000 0.5000 0.5000 N
0.5000 0.0000 0.5000 N

***

Pr12SmY2 (PBE, relaxed); E = -4.85 eV per atom; N(E_F) = 42.92 states/eV per cell; theoretical density = 6.20 g/cm³; formation enthalpy at 0 K = 0.145 eV/atom; total moment = 0.0 μB per formula unit
1.0
3.6425 -5.8846 0.0000
3.6425 5.8846 0.0000
0.0000 0.0000 25.2393
Pr Sm Y
24 2 4
direct
0.0021 0.5021 0.1310 Pr
0.0028 0.9972 0.9263 Pr
0.0205 0.5205 0.5848 Pr
0.0249 0.9751 0.4398 Pr
0.2500 0.2500 0.1988 Pr
0.2500 0.2500 0.3246 Pr
0.2500 0.2500 0.6754 Pr
0.2500 0.2500 0.8012 Pr
0.4751 0.5249 0.4398 Pr
0.4795 0.9795 0.5848 Pr
0.4972 0.5028 0.9263 Pr
0.4979 0.9979 0.1310 Pr
0.5021 0.0021 0.8690 Pr
0.5028 0.4972 0.0737 Pr
0.5205 0.0205 0.4152 Pr
0.5249 0.4751 0.5602 Pr
0.7500 0.7500 0.1988 Pr
0.7500 0.7500 0.3246 Pr
0.7500 0.7500 0.6754 Pr
0.7500 0.7500 0.8012 Pr
0.9751 0.0249 0.5602 Pr
0.9795 0.4795 0.4152 Pr
0.9972 0.0028 0.0737 Pr
0.9979 0.4979 0.8690 Pr
0.2500 0.7500 0.0013 Sm
0.7500 0.2500 0.9987 Sm
0.2500 0.7500 0.2715 Y
0.2500 0.7500 0.7326 Y
0.7500 0.2500 0.2674 Y
0.7500 0.2500 0.7285 Y

***

LiTc2Pb (PBE, relaxed); E = -6.38 eV per atom; N(E_F) = 2.57 states/eV per cell; theoretical density = 10.37 g/cm³; formation enthalpy at 0 K = 0.205 eV/atom; total moment = 0.0 μB per formula unit
1.0
3.1189 0.0000 0.0000
0.0000 3.1189 0.0000
0.0000 0.0000 6.7486
Li Tc Pb
1 2 1
direct
0.0000 0.0000 0.0000 Li
0.0000 0.0000 0.5764 Tc
0.5000 0.5000 0.7829 Tc
0.5000 0.5000 0.2659 Pb

***

BeRu2Br (PBE, relaxed); ΔE to the lowest computed polymorph = 161 meV/atom; E = -5.51 eV per atom; N(E_F) = 3.73 states/eV per cell; theoretical density = 8.11 g/cm³; total moment = 1.9 μB per formula unit
1.0
3.1062 0.0000 0.0000
0.0000 3.1062 0.0000
0.0000 0.0000 6.1729
Be Ru Br
1 2 1
direct
0.0000 0.0000 0.0000 Be
0.0000 0.0000 0.6201 Ru
0.5000 0.5000 0.9045 Ru
0.5000 0.5000 0.3316 Br

***

Cs6K2H (PBE, relaxed); E = -1.20 eV per atom; N(E_F) = 7.60 states/eV per cell; theoretical density = 1.97 g/cm³; total moment = 0.0 μB per formula unit
1.0
7.9351 -5.9283 0.0000
7.9351 5.9283 0.0000
-6.7986 0.0000 7.8736
Cs K H
6 2 1
direct
0.1976 0.7988 0.7642 Cs
0.2012 0.8024 0.2358 Cs
0.2699 0.2699 0.2673 Cs
0.7301 0.7301 0.7327 Cs
0.7988 0.1976 0.7642 Cs
0.8024 0.2012 0.2358 Cs
0.2951 0.2951 0.7951 K
0.7049 0.7049 0.2049 K
0.0000 0.0000 0.0000 H

***

Tm2InPt (PBE, relaxed); ΔE to the lowest computed polymorph = 0 meV/atom; E = -5.31 eV per atom; N(E_F) = 2.51 states/eV per cell; theoretical density = 11.58 g/cm³; formation enthalpy at 0 K = -0.880 eV/atom; total moment = 0.0 μB per formula unit
1.0
3.4856 0.0000 0.0000
0.0000 3.4856 0.0000
0.0000 0.0000 7.6458
Tm In Pt
2 1 1
direct
0.0000 0.0000 0.2179 Tm
0.0000 0.0000 0.7821 Tm
0.5000 0.5000 0.5000 In
0.5000 0.5000 0.0000 Pt

***

La4NdY6 (PBE, relaxed); E = -5.44 eV per atom; N(E_F) = 16.28 states/eV per cell; theoretical density = 5.14 g/cm³; formation enthalpy at 0 K = 0.307 eV/atom; total moment = 0.0 μB per formula unit
1.0
-3.4205 3.4205 8.5137
3.4205 -3.4205 8.5137
3.4205 3.4205 -8.5137
La Nd Y
4 1 6
direct
0.1341 0.1341 0.6214 La
0.4873 0.8659 0.0000 La
0.5127 0.5127 0.3786 La
0.8659 0.4873 0.0000 La
0.5000 0.5000 0.0000 Nd
0.0000 0.5000 0.5000 Y
0.0557 0.7067 0.0000 Y
0.2933 0.2933 0.3490 Y
0.5000 0.0000 0.5000 Y
0.7067 0.0557 0.0000 Y
0.9443 0.9443 0.6510 Y

***

Sr2ZnGa (PBE, relaxed); E = -2.22 eV per atom; N(E_F) = 6.37 states/eV per cell; theoretical density = 4.09 g/cm³; formation enthalpy at 0 K = -0.299 eV/atom; total moment = 0.0 μB per formula unit
1.0
6.3245 0.0000 0.0000
0.0000 4.6621 0.0000
-3.0232 0.0000 8.5523
Sr Zn Ga
4 2 2
direct
0.2139 0.2500 0.4313 Sr
0.2842 0.7500 0.0746 Sr
0.7158 0.2500 0.9254 Sr
0.7861 0.7500 0.5687 Sr
0.3305 0.7500 0.7248 Zn
0.6695 0.2500 0.2752 Zn
0.1570 0.2500 0.7833 Ga
0.8430 0.7500 0.2167 Ga

***

Pr2TmSb3 (PBE, relaxed); ΔE to the lowest computed polymorph = 0 meV/atom; E = -5.54 eV per atom; N(E_F) = 2.19 states/eV per cell; theoretical density = 7.07 g/cm³; total moment = 0.0 μB per formula unit
1.0
3.8868 -6.7342 0.0000
3.8868 6.7342 0.0000
-2.5957 0.0000 7.3189
Pr Tm Sb
4 2 6
direct
0.0000 0.0000 0.0000 Pr
0.1638 0.8362 0.5000 Pr
0.5000 0.5000 0.5000 Pr
0.8362 0.1638 0.5000 Pr
0.3323 0.6677 0.0000 Tm
0.6677 0.3323 0.0000 Tm
0.0807 0.4216 0.2414 Sb
0.2622 0.2622 0.7619 Sb
0.4216 0.0807 0.2414 Sb
0.5784 0.9193 0.7586 Sb
0.7378 0.7378 0.2381 Sb
0.9193 0.5784 0.7586 Sb

***

LaErTc (PBE, relaxed); ΔE to the lowest computed polymorph = 40 meV/atom; E = -6.60 eV per atom; N(E_F) = 8.68 states/eV per cell; theoretical density = 8.41 g/cm³; formation enthalpy at 0 K = 0.018 eV/atom; total moment = 0.0 μB per formula unit
1.0
3.4918 0.0000 0.0000
0.0000 3.4918 0.0000
0.0000 0.0000 13.0902
La Er Tc
2 2 2
direct
0.0000 0.0000 0.0000 La
0.5000 0.5000 0.5000 La
0.0000 0.0000 0.7452 Er
0.5000 0.5000 0.2452 Er
0.0000 0.0000 0.3662 Tc
0.5000 0.5000 0.8662 Tc

***

CoH2Cl (PBE, relaxed); ΔE to the lowest computed polymorph = 0 meV/atom; E = -3.58 eV per atom; N(E_F) = 1.51 states/eV per cell; theoretical density = 3.71 g/cm³; total moment = 0.0 μB per formula unit
1.0
6.1864 0.0000 0.0000
0.0000 6.1864 0.0000
0.0000 0.0000 4.5157
Co H Cl
4 8 4
direct
0.0000 0.2500 0.3750 Co
0.0000 0.7500 0.6250 Co
0.5000 0.2500 0.1250 Co
0.5000 0.7500 0.8750 Co
0.0000 0.0000 0.5000 H
0.0000 0.5000 0.5000 H
0.2500 0.2500 0.2500 H
0.2500 0.7500 0.7500 H
0.5000 0.0000 0.0000 H
0.5000 0.5000 0.0000 H
0.7500 0.2500 0.2500 H
0.7500 0.7500 0.7500 H
0.0000 0.2500 0.8750 Cl
0.0000 0.7500 0.1250 Cl
0.5000 0.2500 0.6250 Cl
0.5000 0.7500 0.3750 Cl